First-principles (PBE with a Hubbard U) data for a geometry-optimized BaVIr2O8 structure, as listed in Alexandria via LeMat-Bulk.

a b c (Å): 5.383 5.383 7.585
angles (deg): 90.00 90.00 120.00
Site moments in Bohr magnetons follow the coordinates.
Atoms (fractional coordinates):
Ba 0.000 0.000 0.000  0.00
V 0.000 0.000 0.500  1.65
Ir 0.667 0.333 0.294  -0.14
Ir 0.333 0.667 0.706  -0.14
O 0.333 0.667 0.951  -0.08
O 0.301 0.275 0.336  -0.06
O 0.725 0.026 0.336  -0.06
O 0.667 0.333 0.049  -0.08
O 0.275 0.974 0.664  -0.06
O 0.699 0.725 0.664  -0.06
O 0.026 0.301 0.664  -0.06
O 0.974 0.699 0.336  -0.06

Output
Electronic total energy = -79.70 eV for the cell shown



First-principles (PBE with a Hubbard U) data for a geometry-optimized Ba2VIr3O12 structure, as listed in Alexandria via LeMat-Bulk.

a b c (Å): 7.125 7.125 7.125
angles (deg): 59.70 59.70 59.70
Atoms (fractional coordinates):
Ba 0.633 0.633 0.633
Ba 0.367 0.367 0.367
V 0.000 0.000 0.000
Ir 0.500 0.000 0.000
Ir 0.000 0.500 0.000
Ir 0.000 0.000 0.500
O 0.333 0.333 0.924
O 0.928 0.928 0.317
O 0.317 0.928 0.928
O 0.924 0.333 0.333
O 0.928 0.317 0.928
O 0.333 0.924 0.333
O 0.667 0.667 0.076
O 0.072 0.072 0.683
O 0.683 0.072 0.072
O 0.076 0.667 0.667
O 0.072 0.683 0.072
O 0.667 0.076 0.667

Output
Electronic total energy = -122.70 eV for the cell shown